Entry from Alexandria via LeMat-Bulk: a relaxed structure of ThZn11Co (PBE).

Cell lengths 5.074, 6.807, 6.851 Å; angles 82.12, 68.27, 68.26 degrees
Sites, in units of the cell vectors:
Zn 0.285 0.226 0.217
Th 0.000 0.000 0.000
Zn 0.502 0.226 0.783
Zn 0.972 0.362 0.655
Zn 0.373 0.638 0.655
Co 0.500 0.500 0.000
Zn 0.500 0.000 0.500
Zn 0.715 0.774 0.783
Zn 0.627 0.362 0.345
Zn 0.498 0.774 0.217
Zn 0.028 0.638 0.345
Zn 0.000 0.000 0.500
Zn 0.000 0.500 0.000

Results
DFT total energy = -2.3526 eV/atom
Energy of formation from the pure elements = -3.63 kcal/mol of atoms

Entry from Alexandria via LeMat-Bulk: a relaxed structure of AcPm4Y3 (PBE).

Cell lengths 5.818, 6.105, 8.972 Å; angles 109.89, 108.92, 90.00 degrees
Sites, in units of the cell vectors:
Pm 0.245 0.812 0.489
Ac 0.500 0.000 0.000
Y 0.138 0.196 0.276
Pm 0.364 0.411 0.728
Y 0.000 0.500 0.000
Y 0.862 0.804 0.724
Pm 0.636 0.589 0.272
Pm 0.755 0.188 0.511

Results
DFT total energy = -5.2279 eV/atom
Energy of formation from the pure elements = 1.96 kcal/mol of atoms

Please write out number 1 again, unchanged.
Entry from Alexandria via LeMat-Bulk: a relaxed structure of ThZn11Co (PBE).

Cell lengths 5.074, 6.807, 6.851 Å; angles 82.12, 68.27, 68.26 degrees
Sites, in units of the cell vectors:
Zn 0.285 0.226 0.217
Th 0.000 0.000 0.000
Zn 0.502 0.226 0.783
Zn 0.972 0.362 0.655
Zn 0.373 0.638 0.655
Co 0.500 0.500 0.000
Zn 0.500 0.000 0.500
Zn 0.715 0.774 0.783
Zn 0.627 0.362 0.345
Zn 0.498 0.774 0.217
Zn 0.028 0.638 0.345
Zn 0.000 0.000 0.500
Zn 0.000 0.500 0.000

Results
DFT total energy = -2.3526 eV/atom
Energy of formation from the pure elements = -3.63 kcal/mol of atoms

energy of formation from the pure elements of number 1 (ThZn11Co)? -3.63 kcal/mol of atoms